No. 1
Computed, not measured: a relaxed structure of AlHgW2 at the PBE-GGA level of DFT.

abc: 5.2430 5.2430 5.2430
angles: 136.39 136.39 63.37
Closest atoms and distances in Å follow each position.
Fractional coordinates of all 4 atoms:
Al 0.0000 0.0000 0.0000  4 Hg 2.75, 8 W 2.96
Hg 0.5000 0.5000 0.0000  4 Al 2.75, 8 W 2.96
W 0.2500 0.7500 0.5000  4 W 2.75, 4 Hg 2.96, 4 Al 2.96
W 0.7500 0.2500 0.5000  4 W 2.75, 4 Hg 2.96, 4 Al 2.96

The calculation puts the energy relative to the elements at 569 meV per atom. Its relative energy among the computed polymorphs is 231 meV/atom. The space-group type is I4/mmm, No. 139.

No. 2
Computed, not measured: a relaxed structure of SrAl2Ru at the PBE-GGA level of DFT.

abc: 4.1948 4.1948 4.5476
angles: 90.00 90.00 90.00
Closest atoms and distances in Å follow each position.
Fractional coordinates of all 4 atoms:
Sr 0.0000 0.0000 0.0000  4 Ru 2.97, 8 Al 3.09
Al 0.0000 0.5000 0.5000  4 Al 2.97, 4 Ru 3.09, 4 Sr 3.09
Al 0.5000 0.0000 0.5000  4 Al 2.97, 4 Ru 3.09, 4 Sr 3.09
Ru 0.5000 0.5000 0.0000  4 Sr 2.97, 8 Al 3.09

The calculation puts the energy relative to the elements at 309 meV per atom. The space-group type is P4/mmm, No. 123.

No. 3
Computed, not measured: a relaxed structure of La12Pr3In at the PBE-GGA level of DFT.

abc: 5.1907 5.1907 21.0613
angles: 90.00 90.00 90.00
Closest atoms and distances in Å follow each position.
Fractional coordinates of all 16 atoms:
La 0.0000 0.0000 0.0000  8 La 3.62, 4 In 3.67
La 0.0000 0.0000 0.2476  4 Pr 3.67, 8 La 3.70-3.74
La 0.0000 0.0000 0.5000  4 Pr 3.67, 8 La 3.73
La 0.0000 0.0000 0.7524  4 Pr 3.67, 8 La 3.70-3.74
La 0.0000 0.5000 0.1196  8 La 3.62-3.74, 2 In 3.62, 2 Pr 3.72
La 0.0000 0.5000 0.3726  8 La 3.67-3.73, 4 Pr 3.72-3.73
La 0.0000 0.5000 0.6274  8 La 3.67-3.73, 4 Pr 3.72-3.73
La 0.0000 0.5000 0.8804  8 La 3.62-3.74, 2 In 3.62, 2 Pr 3.72
La 0.5000 0.0000 0.1196  8 La 3.62-3.74, 2 In 3.62, 2 Pr 3.72
La 0.5000 0.0000 0.3726  8 La 3.67-3.73, 4 Pr 3.72-3.73
La 0.5000 0.0000 0.6274  8 La 3.67-3.73, 4 Pr 3.72-3.73
La 0.5000 0.0000 0.8804  8 La 3.62-3.74, 2 In 3.62, 2 Pr 3.72
Pr 0.5000 0.5000 0.2463  12 La 3.67-3.72
Pr 0.5000 0.5000 0.5000  12 La 3.67-3.73
Pr 0.5000 0.5000 0.7537  12 La 3.67-3.72
In 0.5000 0.5000 0.0000  12 La 3.62-3.67

The calculation puts the energy relative to the elements at -62 meV per atom. The space-group type is P4/mmm, No. 123.

No. 4
Computed, not measured: a relaxed structure of Ho2ThSi6 at the PBE-GGA level of DFT.

abc: 7.1144 7.1144 4.0030
angles: 90.00 90.00 120.00
Closest atoms and distances in Å follow each position.
Fractional coordinates of all 9 atoms:
Ho 0.3333 0.6667 0.0000  12 Si 3.10
Ho 0.6667 0.3333 0.0000  12 Si 3.10
Th 0.0000 0.0000 0.0000  12 Si 3.12
Si 0.0000 0.3356 0.5000  3 Si 2.34-2.39
Si 0.0000 0.6644 0.5000  3 Si 2.34-2.39
Si 0.3356 0.0000 0.5000  3 Si 2.34-2.39
Si 0.3356 0.3356 0.5000  3 Si 2.34-2.39
Si 0.6644 0.0000 0.5000  3 Si 2.34-2.39
Si 0.6644 0.6644 0.5000  3 Si 2.34-2.39

The value obtained for the uncorrected formation energy is -0.5545 eV per atom. The space-group type is P6/mmm, No. 191.

No. 5
Computed, not measured: a relaxed structure of Sm2Dy3Tm9 at the PBE-GGA level of DFT.

abc: 6.3589 8.2952 8.8249
angles: 87.04 82.54 70.91
Closest atoms and distances in Å follow each position.
Fractional coordinates of all 14 atoms:
Sm 0.0000 0.0000 0.0000  2 Dy 3.20, 1 Sm 3.25, 5 Tm 3.35-3.54
Sm 0.1444 0.6478 0.1982  1 Sm 3.25, 5 Tm 3.34-3.56, 2 Dy 3.36-3.38
Dy 0.3536 0.0941 0.7494  9 Tm 3.19-3.57, 1 Sm 3.20
Dy 0.5260 0.2983 0.0364  2 Sm 3.20-3.36, 5 Tm 3.36-3.55, 1 Dy 3.59
Dy 0.6826 0.6071 0.4114  8 Tm 3.22-3.59, 1 Sm 3.38
Tm 0.0755 0.2540 0.2557  4 Tm 3.25-3.61, 2 Sm 3.35-3.44, 2 Dy 3.36-3.38
Tm 0.2035 0.9042 0.4576  5 Tm 3.19-3.52, 2 Dy 3.22-3.47, 1 Sm 3.34
Tm 0.2296 0.4468 0.5358  3 Dy 3.32-3.59, 1 Sm 3.36, 6 Tm 3.38-3.66
Tm 0.3968 0.6576 0.7892  8 Tm 3.38-3.74, 3 Dy 3.54-3.56, 2 Sm 3.54-3.76
Tm 0.5464 0.8570 0.0801  5 Tm 3.40-3.70, 3 Sm 3.44-3.56, 3 Dy 3.53-3.62
Tm 0.6499 0.0588 0.3741  8 Tm 3.40-3.74, 3 Dy 3.52-3.68, 1 Sm 3.69
Tm 0.8071 0.2508 0.6583  8 Tm 3.40-3.77, 4 Dy 3.47-3.55, 1 Sm 3.68
Tm 0.8399 0.8162 0.7018  1 Dy 3.19, 7 Tm 3.19-3.55, 1 Sm 3.52
Tm 0.9636 0.4651 0.9184  6 Tm 3.33-3.67, 1 Sm 3.46, 3 Dy 3.52-3.66

The calculation puts the energy relative to the elements at 84 meV per atom. The space-group type is P1, No. 1.

No. 6
Computed, not measured: a relaxed structure of PuHPd3 at the PBE-GGA level of DFT.

abc: 4.2136 4.2136 4.2136
angles: 90.00 90.00 90.00
Closest atoms and distances in Å follow each position.
Fractional coordinates of all 5 atoms:
Pu 0.0000 0.0000 0.0000  12 Pd 2.98
H 0.5000 0.5000 0.5000  6 Pd 2.11
Pd 0.0000 0.5000 0.5000  2 H 2.11
Pd 0.5000 0.0000 0.5000  2 H 2.11
Pd 0.5000 0.5000 0.0000  2 H 2.11

Its relative energy among the computed polymorphs is 18 meV/atom. The space-group type is Pm-3m, No. 221.

no.,calculated volume (A^3/atom)
1,16.919
2,20.005
3,35.466
4,19.496
5,31.154
6,14.962